# Ce3ErSc2Te6, relaxed, DFT GGA-PBE
# E_form (uncorrected) in eV per formula unit: -15.1
data_Ce3ErSc2Te6
_space_group_name_H-M_alt 'P 1'
_space_group_IT_number 1
_space_group_name_Hall 'P 1'
_cell_length_a 9.793
_cell_length_b 9.793
_cell_length_c 8.812
_cell_angle_alpha 104.49
_cell_angle_beta 104.49
_cell_angle_gamma 25.40
loop_
_atom_site_label
_atom_site_fract_x
_atom_site_fract_y
_atom_site_fract_z
_atom_site_occupancy
Ce1 0.000 0.000 0.000 1
Ce2 0.336 0.336 0.669 1
Ce3 0.664 0.664 0.331 1
Er1 0.000 0.000 0.500 1
Sc1 0.333 0.333 0.166 1
Sc2 0.667 0.667 0.834 1
Te1 0.165 0.165 0.599 1
Te2 0.172 0.172 0.069 1
Te3 0.493 0.493 0.255 1
Te4 0.507 0.507 0.745 1
Te5 0.828 0.828 0.931 1
Te6 0.835 0.835 0.401 1



# CeEr2ScTe4, relaxed, DFT GGA-PBE
# E_form (uncorrected) in eV per formula unit: -9.7
data_CeEr2ScTe4
_space_group_name_H-M_alt 'P 1'
_space_group_IT_number 1
_space_group_name_Hall 'P 1'
_cell_length_a 7.504
_cell_length_b 4.292
_cell_length_c 7.545
_cell_angle_alpha 90.00
_cell_angle_beta 108.93
_cell_angle_gamma 90.00
loop_
_atom_site_label
_atom_site_fract_x
_atom_site_fract_y
_atom_site_fract_z
_atom_site_occupancy
Ce1 0.000 0.000 0.000 1
Er1 0.500 0.000 0.500 1
Er2 0.500 0.500 0.000 1
Sc1 0.000 0.500 0.500 1
Te1 0.247 0.000 0.739 1
Te2 0.255 0.500 0.262 1
Te3 0.745 0.500 0.738 1
Te4 0.753 0.000 0.261 1



# Ce3Er2ScTe6, relaxed, DFT GGA-PBE
# E_form (uncorrected) in eV per formula unit: -15.4
data_Ce3Er2ScTe6
_space_group_name_H-M_alt 'P 1'
_space_group_IT_number 1
_space_group_name_Hall 'P 1'
_cell_length_a 9.856
_cell_length_b 9.856
_cell_length_c 8.873
_cell_angle_alpha 104.62
_cell_angle_beta 104.62
_cell_angle_gamma 25.37
loop_
_atom_site_label
_atom_site_fract_x
_atom_site_fract_y
_atom_site_fract_z
_atom_site_occupancy
Ce1 0.000 0.000 0.000 1
Ce2 0.331 0.331 0.664 1
Ce3 0.669 0.669 0.336 1
Er1 0.334 0.334 0.167 1
Er2 0.666 0.666 0.833 1
Sc1 0.000 0.000 0.500 1
Te1 0.159 0.159 0.590 1
Te2 0.170 0.170 0.076 1
Te3 0.498 0.498 0.266 1
Te4 0.502 0.502 0.734 1
Te5 0.830 0.830 0.924 1
Te6 0.841 0.841 0.410 1



# CeErThSc, relaxed, DFT GGA-PBE
# Energy of formation from the pure elements in meV/atom: 35
data_CeErThSc
_space_group_name_H-M_alt 'P 1'
_space_group_IT_number 1
_space_group_name_Hall 'P 1'
_cell_length_a 3.477
_cell_length_b 3.477
_cell_length_c 11.226
_cell_angle_alpha 98.89
_cell_angle_beta 98.89
_cell_angle_gamma 60.00
loop_
_atom_site_label
_atom_site_fract_x
_atom_site_fract_y
_atom_site_fract_z
_atom_site_occupancy
Ce1 0.000 0.000 0.000 1
Er1 0.420 0.420 0.260 1
Th1 0.584 0.584 0.748 1
Sc1 0.169 0.169 0.504 1



# CeErThSc, relaxed, DFT GGA-PBE
# Energy of formation from the pure elements in meV/atom: 193
data_CeErThSc
_space_group_name_H-M_alt 'P 1'
_space_group_IT_number 1
_space_group_name_Hall 'P 1'
_cell_length_a 5.506
_cell_length_b 5.506
_cell_length_c 5.506
_cell_angle_alpha 60.00
_cell_angle_beta 60.00
_cell_angle_gamma 60.00
loop_
_atom_site_label
_atom_site_fract_x
_atom_site_fract_y
_atom_site_fract_z
_atom_site_occupancy
Ce1 0.000 0.000 0.000 1
Er1 0.750 0.750 0.750 1
Th1 0.250 0.250 0.250 1
Sc1 0.500 0.500 0.500 1



# CeErScTl, relaxed, DFT GGA-PBE
# Energy of formation from the pure elements in meV/atom: 23
data_CeErScTl
_space_group_name_H-M_alt 'P 1'
_space_group_IT_number 1
_space_group_name_Hall 'P 1'
_cell_length_a 5.256
_cell_length_b 5.256
_cell_length_c 5.256
_cell_angle_alpha 60.00
_cell_angle_beta 60.00
_cell_angle_gamma 60.00
loop_
_atom_site_label
_atom_site_fract_x
_atom_site_fract_y
_atom_site_fract_z
_atom_site_occupancy
Ce1 0.000 0.000 0.000 1
Er1 0.250 0.250 0.250 1
Sc1 0.750 0.750 0.750 1
Tl1 0.500 0.500 0.500 1



# CeErSc2Tl4, relaxed, DFT GGA-PBE
# Energy of formation from the pure elements in meV/atom: -253
data_CeErSc2Tl4
_space_group_name_H-M_alt 'P 1'
_space_group_IT_number 1
_space_group_name_Hall 'P 1'
_cell_length_a 9.185
_cell_length_b 9.185
_cell_length_c 9.185
_cell_angle_alpha 33.28
_cell_angle_beta 33.28
_cell_angle_gamma 33.28
loop_
_atom_site_label
_atom_site_fract_x
_atom_site_fract_y
_atom_site_fract_z
_atom_site_occupancy
Ce1 0.000 0.000 0.000 1
Er1 0.500 0.500 0.500 1
Sc1 0.249 0.249 0.249 1
Sc2 0.751 0.751 0.751 1
Tl1 0.127 0.127 0.127 1
Tl2 0.377 0.377 0.377 1
Tl3 0.623 0.623 0.623 1
Tl4 0.873 0.873 0.873 1



# CeEr6Tm3Sc2, relaxed, DFT GGA-PBE
# Energy of formation from the pure elements in meV/atom: 53
data_CeEr6Tm3Sc2
_space_group_name_H-M_alt 'P 1'
_space_group_IT_number 1
_space_group_name_Hall 'P 1'
_cell_length_a 5.992
_cell_length_b 5.992
_cell_length_c 11.500
_cell_angle_alpha 94.98
_cell_angle_beta 94.98
_cell_angle_gamma 119.97
loop_
_atom_site_label
_atom_site_fract_x
_atom_site_fract_y
_atom_site_fract_z
_atom_site_occupancy
Ce1 0.000 0.000 0.000 1
Er1 0.083 0.416 0.247 1
Er2 0.251 0.251 0.753 1
Er3 0.416 0.083 0.247 1
Er4 0.584 0.917 0.753 1
Er5 0.749 0.749 0.247 1
Er6 0.917 0.584 0.753 1
Tm1 0.168 0.832 0.500 1
Tm2 0.500 0.500 0.500 1
Tm3 0.832 0.168 0.500 1
Sc1 0.333 0.667 0.000 1
Sc2 0.667 0.333 0.000 1



# Ce2Er3Tm6Sc, relaxed, DFT GGA-PBE
# Energy of formation from the pure elements in meV/atom: 51
data_Ce2Er3Tm6Sc
_space_group_name_H-M_alt 'P 1'
_space_group_IT_number 1
_space_group_name_Hall 'P 1'
_cell_length_a 6.012
_cell_length_b 6.012
_cell_length_c 11.514
_cell_angle_alpha 94.99
_cell_angle_beta 94.99
_cell_angle_gamma 119.99
loop_
_atom_site_label
_atom_site_fract_x
_atom_site_fract_y
_atom_site_fract_z
_atom_site_occupancy
Ce1 0.166 0.834 0.000 1
Ce2 0.834 0.166 0.000 1
Er1 0.000 0.000 0.500 1
Er2 0.334 0.666 0.500 1
Er3 0.666 0.334 0.500 1
Tm1 0.085 0.417 0.753 1
Tm2 0.250 0.250 0.248 1
Tm3 0.417 0.085 0.753 1
Tm4 0.583 0.915 0.247 1
Tm5 0.750 0.750 0.752 1
Tm6 0.915 0.583 0.247 1
Sc1 0.500 0.500 0.000 1



# CeEr3Tm6Sc2, relaxed, DFT GGA-PBE
# Energy of formation from the pure elements in meV/atom: 52
data_CeEr3Tm6Sc2
_space_group_name_H-M_alt 'P 1'
_space_group_IT_number 1
_space_group_name_Hall 'P 1'
_cell_length_a 5.981
_cell_length_b 5.981
_cell_length_c 11.486
_cell_angle_alpha 94.97
_cell_angle_beta 94.97
_cell_angle_gamma 119.97
loop_
_atom_site_label
_atom_site_fract_x
_atom_site_fract_y
_atom_site_fract_z
_atom_site_occupancy
Ce1 0.000 0.000 0.000 1
Er1 0.168 0.832 0.500 1
Er2 0.500 0.500 0.500 1
Er3 0.832 0.168 0.500 1
Tm1 0.083 0.416 0.246 1
Tm2 0.251 0.251 0.754 1
Tm3 0.416 0.083 0.246 1
Tm4 0.584 0.917 0.754 1
Tm5 0.749 0.749 0.246 1
Tm6 0.917 0.584 0.754 1
Sc1 0.333 0.667 0.000 1
Sc2 0.667 0.333 0.000 1



# Ce2Er6Tm3Sc, relaxed, DFT GGA-PBE
# Energy of formation from the pure elements in meV/atom: 52
data_Ce2Er6Tm3Sc
_space_group_name_H-M_alt 'P 1'
_space_group_IT_number 1
_space_group_name_Hall 'P 1'
_cell_length_a 6.023
_cell_length_b 6.023
_cell_length_c 11.543
_cell_angle_alpha 94.99
_cell_angle_beta 94.99
_cell_angle_gamma 119.99
loop_
_atom_site_label
_atom_site_fract_x
_atom_site_fract_y
_atom_site_fract_z
_atom_site_occupancy
Ce1 0.166 0.834 0.000 1
Ce2 0.834 0.166 0.000 1
Er1 0.085 0.417 0.752 1
Er2 0.250 0.250 0.248 1
Er3 0.417 0.085 0.752 1
Er4 0.583 0.915 0.248 1
Er5 0.750 0.750 0.752 1
Er6 0.915 0.583 0.248 1
Tm1 0.000 0.000 0.500 1
Tm2 0.334 0.666 0.500 1
Tm3 0.666 0.334 0.500 1
Sc1 0.500 0.500 0.000 1



# CeErTm3Sc, relaxed, DFT GGA-PBE
# Energy of formation from the pure elements in meV/atom: 68
data_CeErTm3Sc
_space_group_name_H-M_alt 'P 1'
_space_group_IT_number 1
_space_group_name_Hall 'P 1'
_cell_length_a 7.725
_cell_length_b 7.725
_cell_length_c 9.795
_cell_angle_alpha 90.00
_cell_angle_beta 90.00
_cell_angle_gamma 143.06
loop_
_atom_site_label
_atom_site_fract_x
_atom_site_fract_y
_atom_site_fract_z
_atom_site_occupancy
Ce1 0.002 0.998 0.750 1
Ce2 0.998 0.002 0.250 1
Er1 0.500 0.500 0.000 1
Er2 0.500 0.500 0.500 1
Tm1 0.166 0.834 0.501 1
Tm2 0.166 0.834 0.999 1
Tm3 0.331 0.669 0.750 1
Tm4 0.669 0.331 0.250 1
Tm5 0.834 0.166 0.001 1
Tm6 0.834 0.166 0.499 1
Sc1 0.333 0.667 0.250 1
Sc2 0.667 0.333 0.750 1



Number 1: raw total energy -5.75 eV per atom. Number 2: raw total energy -5.46 eV per atom. Number 3: raw total energy -5.62 eV per atom. Number 4: raw total energy -6.03 eV per atom. Number 5: raw total energy -5.87 eV per atom. Number 6: raw total energy -4.78 eV per atom. Number 7: raw total energy -4.33 eV per atom. Number 8: raw total energy -4.90 eV per atom. Number 9: raw total energy -4.84 eV per atom. Number 10: raw total energy -4.87 eV per atom. Number 11: raw total energy -4.86 eV per atom. Number 12: raw total energy -4.97 eV per atom.